This record from Alexandria via LeMat-Bulk describes crystalline Tb4NdHo2 at its relaxed geometry. The functional is PBE-GGA.

a = 3.537 Å, b = 8.762 Å, c = 8.547 Å
α = 118.59°, β = 101.95°, γ = 89.99°
Atoms (fractional coordinates):
Tb  0.295  0.706  0.589
Tb  0.359  0.167  0.719
Tb  0.705  0.294  0.411
Tb  0.641  0.833  0.281
Nd  0.000  0.000  0.000
Ho  0.070  0.430  0.141
Ho  0.930  0.570  0.859

relative energy among the computed polymorphs = 0.0 kJ/mol of atoms
E_form = 0.2 eV per formula unit



This record from Alexandria via LeMat-Bulk describes crystalline Dy3Th2Sc2 at its relaxed geometry. The functional is PBE-GGA.

a = 4.897 Å, b = 6.021 Å, c = 7.814 Å
α = 82.56°, β = 90.00°, γ = 114.00°
Atoms (fractional coordinates):
Dy  0.285  0.570  0.149
Dy  0.000  0.000  0.000
Dy  0.715  0.430  0.851
Th  0.140  0.280  0.569
Th  0.860  0.720  0.431
Sc  0.570  0.141  0.295
Sc  0.430  0.859  0.705

relative energy among the computed polymorphs = 0.0 kJ/mol of atoms
E_form = 0.3 eV per formula unit



This record from Alexandria via LeMat-Bulk describes crystalline Fe3MoIr at its relaxed geometry. The functional is PBE-GGA.

a = 4.348 Å, b = 4.348 Å, c = 4.348 Å
α = 90.00°, β = 90.00°, γ = 90.00°
Site moments in Bohr magnetons follow the coordinates.
Atoms (fractional coordinates):
Mo  0.000  0.000  0.000  -0.65
Ir  0.500  0.500  0.500  0.54
Fe  0.000  0.500  0.000  1.84
Fe  0.000  0.000  0.500  1.84
Fe  0.500  0.000  0.000  1.68

relative energy among the computed polymorphs = 0.0 kJ/mol of atoms
E_form = 8.3 eV per formula unit



This record from Alexandria via LeMat-Bulk describes crystalline H2Ru2Rh at its relaxed geometry. The functional is PBE-GGA.

a = 5.908 Å, b = 5.908 Å, c = 2.851 Å
α = 90.00°, β = 90.00°, γ = 90.00°
Atoms (fractional coordinates):
Ru  0.142  0.642  0.500
Ru  0.642  0.858  0.500
Ru  0.858  0.358  0.500
Ru  0.358  0.142  0.500
Rh  0.000  0.000  0.000
Rh  0.500  0.500  0.000
H  0.283  0.783  0.000
H  0.783  0.717  0.000
H  0.717  0.217  0.000
H  0.217  0.283  0.000

relative energy among the computed polymorphs = 7.4 kJ/mol of atoms



This record from Alexandria via LeMat-Bulk describes crystalline NaAsPb at its relaxed geometry. The functional is PBE-GGA.

a = 3.382 Å, b = 5.188 Å, c = 5.188 Å
α = 120.00°, β = 90.00°, γ = 90.00°
Atoms (fractional coordinates):
Pb  0.166  0.333  0.667
Na  0.668  0.667  0.333
As  0.166  0.000  0.000

E_form = -0.3 eV per formula unit



This record from Alexandria via LeMat-Bulk describes crystalline LaAsSe2Br at its relaxed geometry. The functional is PBE-GGA.

a = 5.192 Å, b = 5.192 Å, c = 5.091 Å
α = 90.00°, β = 90.00°, γ = 90.00°
Site moments in Bohr magnetons follow the coordinates.
Atoms (fractional coordinates):
As  0.000  0.000  0.500  0.01
Se  0.000  0.500  0.000  0.08
Se  0.500  0.000  0.000  0.08
Br  0.000  0.000  0.000  0.09
La  0.500  0.500  0.500  0.00

uncorrected formation energy = -0.09 eV/atom
relative energy among the computed polymorphs = 53.4 kJ/mol of atoms



This record from Alexandria via LeMat-Bulk describes crystalline Pm5Nd12Al3 at its relaxed geometry. The functional is PBE-GGA.

a = 15.454 Å, b = 15.454 Å, c = 15.454 Å
α = 109.47°, β = 109.47°, γ = 109.47°
Atoms (fractional coordinates):
Al  0.750  0.375  0.125
Al  0.875  0.750  0.125
Al  0.375  0.750  0.625
Al  0.250  0.125  0.375
Al  0.875  0.125  0.250
Al  0.375  0.625  0.250
Al  0.625  0.375  0.750
Al  0.125  0.875  0.750
Al  0.750  0.875  0.625
Al  0.625  0.250  0.375
Al  0.125  0.250  0.875
Al  0.250  0.625  0.875
Pm  0.125  0.375  0.250
Pm  0.000  0.500  0.000
Pm  0.000  0.000  0.000
Pm  0.375  0.250  0.125
Pm  0.500  0.000  0.500
Pm  0.500  0.500  0.000
Pm  0.125  0.750  0.375
Pm  0.750  0.125  0.875
Pm  0.750  0.625  0.375
Pm  0.375  0.125  0.750
Pm  0.625  0.875  0.250
Pm  0.500  0.500  0.500
Pm  0.500  0.000  0.000
Pm  0.000  0.000  0.500
Pm  0.250  0.375  0.625
Pm  0.250  0.875  0.125
Pm  0.000  0.500  0.500
Pm  0.875  0.250  0.625
Pm  0.625  0.750  0.875
Pm  0.875  0.625  0.750
Nd  0.738  0.144  0.065
Nd  0.327  0.565  0.421
Nd  0.935  0.356  0.262
Nd  0.565  0.238  0.144
Nd  0.594  0.738  0.673
Nd  0.935  0.579  0.173
Nd  0.327  0.762  0.406
Nd  0.079  0.906  0.144
Nd  0.579  0.935  0.673
Nd  0.738  0.594  0.173
Nd  0.762  0.435  0.356
Nd  0.827  0.921  0.065
Nd  0.144  0.738  0.565
Nd  0.356  0.421  0.094
Nd  0.094  0.921  0.356
Nd  0.406  0.144  0.579
Nd  0.094  0.173  0.238
Nd  0.435  0.673  0.079
Nd  0.827  0.906  0.262
Nd  0.144  0.406  0.079
Nd  0.356  0.935  0.762
Nd  0.579  0.644  0.406
Nd  0.921  0.827  0.565
Nd  0.762  0.327  0.906
Nd  0.421  0.356  0.594
Nd  0.079  0.173  0.435
Nd  0.238  0.673  0.094
Nd  0.173  0.094  0.738
Nd  0.644  0.065  0.238
Nd  0.856  0.594  0.921
Nd  0.565  0.327  0.921
Nd  0.594  0.856  0.421
Nd  0.906  0.827  0.762
Nd  0.906  0.079  0.644
Nd  0.856  0.262  0.435
Nd  0.173  0.079  0.935
Nd  0.644  0.579  0.906
Nd  0.421  0.065  0.327
Nd  0.262  0.406  0.827
Nd  0.238  0.565  0.644
Nd  0.921  0.094  0.856
Nd  0.673  0.238  0.594
Nd  0.435  0.762  0.856
Nd  0.065  0.421  0.827
Nd  0.406  0.262  0.327
Nd  0.065  0.644  0.738
Nd  0.673  0.435  0.579
Nd  0.262  0.856  0.935

E_form = 14.3 eV per formula unit



This record from Alexandria via LeMat-Bulk describes crystalline ZrOF2 at its relaxed geometry. The functional is PBE-GGA.

a = 3.796 Å, b = 3.796 Å, c = 3.796 Å
α = 60.00°, β = 60.00°, γ = 60.00°
Atoms (fractional coordinates):
O  0.000  0.000  0.000
Zr  0.500  0.500  0.500
F  0.250  0.250  0.250
F  0.750  0.750  0.750

uncorrected formation energy = -2.49 eV/atom